<i>
# Er3AuSe2 | Alexandria | PBE | relaxed
data_Er3AuSe2
_chemical_formula_sum 'Er3 Au1 Se2'
_cell_length_a 7.248
_cell_length_b 7.248
_cell_length_c 7.248
_cell_angle_alpha 148.33
_cell_angle_beta 132.65
_cell_angle_gamma 58.08
_symmetry_space_group_name_H-M 'P 1'
_symmetry_Int_Tables_number 1
loop_
_symmetry_equiv_pos_as_xyz
'x,y,z'
loop_
_atom_site_label
_atom_site_fract_x
_atom_site_fract_y
_atom_site_fract_z
Er1 0.000 0.000 0.000
Er2 0.335 0.335 0.000
Er3 0.665 0.665 0.000
Au1 0.500 0.000 0.500
Se1 0.168 0.668 0.500
Se2 0.832 0.332 0.500
# DOS(E_F), states/eV/cell: 5.38
# SG: Immm, No. 71


<ii>
# Er3AuSe2 | Alexandria | PBE | relaxed
data_Er3AuSe2
_chemical_formula_sum 'Er12 Au4 Se8'
_cell_length_a 13.434
_cell_length_b 12.813
_cell_length_c 7.123
_cell_angle_alpha 79.13
_cell_angle_beta 69.50
_cell_angle_gamma 31.38
_symmetry_space_group_name_H-M 'P 1'
_symmetry_Int_Tables_number 1
loop_
_symmetry_equiv_pos_as_xyz
'x,y,z'
loop_
_atom_site_label
_atom_site_fract_x
_atom_site_fract_y
_atom_site_fract_z
Er1 0.041 0.542 0.207
Er2 0.122 0.628 0.628
Er3 0.207 0.710 0.041
Er4 0.290 0.793 0.458
Er5 0.372 0.878 0.878
Er6 0.458 0.959 0.290
Er7 0.542 0.041 0.710
Er8 0.628 0.122 0.122
Er9 0.710 0.207 0.542
Er10 0.793 0.290 0.959
Er11 0.878 0.372 0.372
Er12 0.959 0.458 0.793
Au1 0.041 0.041 0.209
Au2 0.209 0.209 0.041
Au3 0.791 0.791 0.959
Au4 0.959 0.959 0.791
Se1 0.126 0.126 0.624
Se2 0.294 0.294 0.456
Se3 0.376 0.376 0.874
Se4 0.456 0.456 0.294
Se5 0.544 0.544 0.706
Se6 0.624 0.624 0.126
Se7 0.706 0.706 0.544
Se8 0.874 0.874 0.376
# DOS(E_F), states/eV/cell: 12.53
# SG: Fddd, No. 70


The most stable arrangement is <ii>, and the next structure is 5 meV/atom less stable.